Entry from the Alexandria database: crystalline Mn5P6WO24 at its relaxed geometry (GGA+U).

a = 8.770 Å, b = 8.770 Å, c = 8.770 Å
α = 59.79°, β = 59.79°, γ = 59.79°
Last column: magnetic moment on the atom in μB.
Atoms (fractional coordinates):
O: 0.765 0.399 0.544  0.02
O: 0.458 0.232 0.593  0.02
O: 0.709 0.469 0.891  0.01
O: 0.531 0.104 0.296  0.00
O: 0.744 0.925 0.078  0.00
O: 0.593 0.458 0.232  0.02
O: 0.828 0.616 0.983  -0.01
P: 0.043 0.748 0.464  0.01
O: 0.296 0.531 0.104  0.00
P: 0.748 0.464 0.043  0.01
W: 0.146 0.146 0.146  0.06
O: 0.024 0.171 0.386  0.00
P: 0.554 0.951 0.246  0.02
P: 0.246 0.554 0.951  0.02
Mn: 0.644 0.644 0.644  4.67
O: 0.386 0.024 0.171  0.00
O: 0.171 0.386 0.024  0.00
O: 0.262 0.083 0.915  0.00
O: 0.544 0.765 0.399  0.02
P: 0.951 0.246 0.554  0.02
O: 0.399 0.544 0.765  0.02
Mn: 0.499 0.499 0.499  4.67
P: 0.464 0.043 0.748  0.01
O: 0.616 0.983 0.828  -0.01
O: 0.104 0.296 0.531  0.00
O: 0.232 0.593 0.458  0.02
Mn: 0.355 0.355 0.355  4.62
O: 0.078 0.744 0.925  0.00
Mn: 0.852 0.852 0.852  1.17
O: 0.083 0.915 0.262  0.00
O: 0.983 0.828 0.616  -0.01
O: 0.915 0.262 0.083  0.00
Mn: 0.992 0.992 0.992  4.69
O: 0.469 0.891 0.709  0.01
O: 0.891 0.709 0.469  0.01
O: 0.925 0.078 0.744  0.00

As for the crystal system: trigonal. The value obtained for the total energy is -7.426 eV per atom. The calculation puts the size of the total moment at 21.00 μB per formula unit. The density is 3.6 g cm⁻³.

=====

Entry from the Alexandria database: crystalline AlCoO3 at its relaxed geometry (GGA+U).

a = 5.515 Å, b = 5.515 Å, c = 10.912 Å
α = 90.00°, β = 90.00°, γ = 120.00°
Last column: magnetic moment on the atom in μB.
Atoms (fractional coordinates):
O: 0.614 0.614 0.829  -0.07
O: 0.298 0.298 0.674  -0.05
O: 0.000 0.614 0.329  -0.07
O: 0.667 0.333 0.530  0.10
Al: 0.000 0.000 0.264  0.00
O: 0.702 0.000 0.674  -0.05
Al: 0.333 0.667 0.245  0.00
Co: 0.000 0.671 0.502  1.97
Al: 0.000 0.000 0.764  0.00
O: 0.386 0.000 0.829  -0.07
O: 0.386 0.386 0.329  -0.07
O: 0.667 0.333 0.030  0.10
O: 0.702 0.702 0.174  -0.05
O: 0.000 0.000 0.442  0.10
O: 0.000 0.386 0.829  -0.07
Co: 0.671 0.671 0.002  1.97
Al: 0.667 0.333 0.745  0.00
O: 0.333 0.667 0.530  0.10
Co: 0.329 0.329 0.502  1.97
Co: 0.000 0.329 0.002  1.97
O: 0.000 0.702 0.674  -0.05
Co: 0.671 0.000 0.502  1.97
Al: 0.667 0.333 0.245  0.00
O: 0.000 0.000 0.942  0.10
Co: 0.329 0.000 0.002  1.97
O: 0.000 0.298 0.174  -0.05
O: 0.614 0.000 0.329  -0.07
O: 0.298 0.000 0.174  -0.05
O: 0.333 0.667 0.030  0.10
Al: 0.333 0.667 0.745  0.00

As for the crystal system: hexagonal. The value obtained for the total energy is -6.506 eV per atom. The calculation puts the size of the total moment at 2.00 μB per formula unit. The density is 4.6 g cm⁻³.